Here is a relaxed TaAg2PtI crystal from Alexandria via LeMat-Bulk. Energies are from GGA-PBE.

a b c (Å): 5.1983 4.8775 5.1983
angles (deg): 90.00 90.00 90.00
Last column: nearest neighbours and their distance in Å.
Fractional positions:
Ta  0.0000  0.5000  0.0000  2 Pt 2.44
Pt  0.0000  0.0000  0.0000  2 Ta 2.44, 4 Ag 2.60
Ag  0.0000  0.0000  0.5000  2 Pt 2.60
I  0.5000  0.5000  0.5000  8 Ag 3.56, 4 Ta 3.68
Ag  0.5000  0.0000  0.0000  2 Pt 2.60

Computed properties:
space-group type	P4/mmm (123)
ΔE_f (raw)	825	meV per atom

Here is a relaxed KSrPb2 crystal from Alexandria via LeMat-Bulk. Energies are from GGA-PBE.

a b c (Å): 11.6071 11.6071 11.6071
angles (deg): 19.42 19.42 19.42
Last column: nearest neighbours and their distance in Å.
Fractional positions:
K  0.7500  0.7500  0.7500  6 Pb 3.71, 6 K 3.92
Sr  0.2500  0.2500  0.2500  6 Pb 3.56, 6 Sr 3.92
Pb  0.5028  0.5028  0.5028  3 Sr 3.56, 3 K 3.71, 6 Pb 3.92
Pb  0.9972  0.9972  0.9972  3 Sr 3.56, 3 K 3.71, 6 Pb 3.92

Computed properties:
energy above the lowest structure with this stoichiometry	59	kJ/mol of formula units
space-group type	R-3m (166)